#A
Density functional theory data (GGA-PBE) for crystalline Li2NbHg2 at its relaxed geometry.

Computed properties:
Calculated volume in A^3/atom: 17.17

Unit cell a=7.755 b=7.755 c=2.854 alpha=90.00 beta=90.00 gamma=90.00
Element x y z (fractional)
Hg1 0.319 0.181 0.500
Hg2 0.181 0.681 0.500
Hg3 0.819 0.319 0.500
Hg4 0.681 0.819 0.500
Nb1 0.500 0.500 0.000
Nb2 0.000 0.000 0.000
Li1 0.382 0.882 0.000
Li2 0.618 0.118 0.000
Li3 0.882 0.618 0.000
Li4 0.118 0.382 0.000

---

#B
Density functional theory data (GGA-PBE) for crystalline Li2NbHg2 at its relaxed geometry.

Computed properties:
Calculated volume in A^3/atom: 18.26

Unit cell a=4.739 b=4.739 c=5.269 alpha=63.27 beta=63.27 gamma=90.00
Element x y z (fractional)
Li1 0.633 0.633 0.734
Li2 0.367 0.367 0.266
Hg1 0.750 0.250 0.500
Hg2 0.250 0.750 0.500
Nb1 0.000 0.000 0.000

---

Decreasing stability: #A, #B

---

#A
Density functional theory data (GGA-PBE) for crystalline Li2NdHg at its relaxed geometry.

Computed properties:
Calculated volume in A^3/atom: 22.60

Unit cell a=3.559 b=3.559 c=7.138 alpha=90.00 beta=90.00 gamma=90.00
Element x y z (fractional)
Li1 0.000 0.000 0.189
Li2 0.000 0.000 0.811
Hg1 0.500 0.500 0.000
Nd1 0.500 0.500 0.500

---

#B
Density functional theory data (GGA-PBE) for crystalline Li2NdHg at its relaxed geometry.

Computed properties:
Calculated volume in A^3/atom: 23.33

Unit cell a=4.794 b=7.438 c=5.757 alpha=90.00 beta=65.40 gamma=90.00
Element x y z (fractional)
Hg1 0.219 0.250 0.561
Hg2 0.781 0.750 0.439
Nd1 0.075 0.750 0.850
Nd2 0.925 0.250 0.150
Li1 0.361 0.560 0.277
Li2 0.639 0.440 0.723
Li3 0.361 0.940 0.277
Li4 0.639 0.060 0.723

---

#C
Density functional theory data (GGA-PBE) for crystalline Li2NdHg at its relaxed geometry.

Computed properties:
Calculated volume in A^3/atom: 23.61

Unit cell a=4.756 b=5.716 c=6.949 alpha=90.00 beta=90.00 gamma=90.00
Element x y z (fractional)
Hg1 0.000 0.500 0.239
Hg2 0.500 0.000 0.761
Nd1 0.500 0.500 0.572
Nd2 0.000 0.000 0.428
Li1 0.000 0.241 0.893
Li2 0.500 0.741 0.107
Li3 0.000 0.759 0.893
Li4 0.500 0.259 0.107

---

Decreasing stability: #C, #B, #A

---

#A
Density functional theory data (GGA-PBE) for crystalline Li2NdHg at its relaxed geometry.

Computed properties:
Calculated volume in A^3/atom: 25.13

Unit cell a=5.077 b=4.449 c=4.449 alpha=90.00 beta=90.00 gamma=90.00
Element x y z (fractional)
Li1 0.000 0.000 0.500
Li2 0.000 0.500 0.000
Hg1 0.500 0.500 0.500
Nd1 0.500 0.000 0.000

---

#B
Density functional theory data (GGA-PBE) for crystalline Li2NdHg at its relaxed geometry.

Computed properties:
Calculated volume in A^3/atom: 23.39

Unit cell a=4.948 b=4.948 c=5.257 alpha=61.93 beta=61.93 gamma=60.00
Element x y z (fractional)
Nd1 0.499 0.499 0.503
Li1 0.002 0.002 0.995
Li2 0.266 0.266 0.201
Hg1 0.733 0.733 0.801

---

Decreasing stability: #B, #A

---

#A
Density functional theory data (GGA-PBE) for crystalline LiNd2Hg3 at its relaxed geometry.

Computed properties:
Calculated volume in A^3/atom: 25.78

Unit cell a=5.246 b=5.246 c=12.979 alpha=90.00 beta=90.00 gamma=120.00
Element x y z (fractional)
Nd1 0.000 0.000 0.500
Nd2 0.000 0.000 0.000
Nd3 0.667 0.333 0.816
Nd4 0.333 0.667 0.184
Hg1 0.667 0.333 0.094
Hg2 0.333 0.667 0.425
Hg3 0.333 0.667 0.906
Hg4 0.000 0.000 0.742
Hg5 0.667 0.333 0.575
Hg6 0.000 0.000 0.258
Li1 0.333 0.667 0.663
Li2 0.667 0.333 0.337

---

#B
Density functional theory data (GGA-PBE) for crystalline LiNd2Hg3 at its relaxed geometry.

Computed properties:
Calculated volume in A^3/atom: 24.94

Unit cell a=6.081 b=6.081 c=9.981 alpha=114.28 beta=114.28 gamma=69.52
Element x y z (fractional)
Nd1 0.756 0.244 0.000
Nd2 0.250 0.750 0.500
Nd3 0.244 0.756 0.000
Nd4 0.750 0.250 0.500
Li1 0.667 0.667 0.333
Li2 0.333 0.333 0.667
Hg1 0.176 0.176 0.826
Hg2 0.650 0.650 0.826
Hg3 0.826 0.826 0.653
Hg4 0.174 0.174 0.347
Hg5 0.824 0.824 0.174
Hg6 0.350 0.350 0.174

---

Decreasing stability: #A, #B

---

#A
Density functional theory data (GGA-PBE) for crystalline LiNi3Hg at its relaxed geometry.

Computed properties:
Calculated volume in A^3/atom: 13.19

Unit cell a=4.040 b=4.040 c=4.040 alpha=90.00 beta=90.00 gamma=90.00
Element x y z (fractional)
Hg1 0.500 0.500 0.500
Ni1 0.000 0.000 0.500
Ni2 0.000 0.500 0.000
Ni3 0.500 0.000 0.000
Li1 0.000 0.000 0.000

---

#B
Density functional theory data (GGA-PBE) for crystalline LiNi3Hg at its relaxed geometry.

Computed properties:
Calculated volume in A^3/atom: 22.19

Unit cell a=4.805 b=4.805 c=4.805 alpha=90.00 beta=90.00 gamma=90.00
Element x y z (fractional)
Li1 0.500 0.500 0.500
Ni1 0.500 0.000 0.000
Ni2 0.000 0.500 0.000
Ni3 0.000 0.000 0.500
Hg1 0.000 0.000 0.000

---

Decreasing stability: #A, #B

---

#A
Density functional theory data (GGA-PBE) for crystalline Sr2LiNiHg at its relaxed geometry.

Computed properties:
Calculated volume in A^3/atom: 30.69

Unit cell a=5.704 b=5.704 c=4.717 alpha=90.00 beta=90.00 gamma=90.00
Element x y z (fractional)
Sr1 0.000 0.500 0.000
Sr2 0.500 0.000 0.000
Ni1 0.000 0.000 0.000
Li1 0.000 0.000 0.500
Hg1 0.500 0.500 0.500

---

#B
Density functional theory data (GGA-PBE) for crystalline Sr2LiNiHg at its relaxed geometry.

Computed properties:
Calculated volume in A^3/atom: 32.82

Unit cell a=5.705 b=5.705 c=5.042 alpha=90.00 beta=90.00 gamma=90.00
Element x y z (fractional)
Li1 0.500 0.500 0.500
Hg1 0.000 0.000 0.500
Sr1 0.000 0.500 0.000
Sr2 0.500 0.000 0.000
Ni1 0.000 0.000 0.000

---

Decreasing stability: #B, #A